# 1
Here is a relaxed structure of CsZrIr from OQMD via LeMat-Bulk. Energies are from PBE.

As for the energy above the lowest structure with this stoichiometry: 0.000 eV per atom.

POSCAR file:
```
CsZrIr
1.0
-0.1053 -4.8062 -0.9206
-3.6350 -1.9013 -2.6703
0.8881 -1.6454 -4.5235
Zr Cs Ir
1 1 1
Cartesian
-2.1391 -6.2647 -6.0858 Zr
-0.7130 -2.0883 -2.0286 Cs
0.0000 0.0000 0.0000 Ir
```

***

# 2
Here is a relaxed structure of CoSiNiMo from OQMD via LeMat-Bulk. Energies are from PBE.

As for the energy above the lowest structure with this stoichiometry: 0.021 eV per atom.

POSCAR file:
```
CoSiNiMo
1.0
2.8926 -2.8143 -0.6906
-1.0500 -3.9139 -0.5857
0.3713 -1.6856 -3.7128
Si Ni Mo Co
1 1 1 1
Cartesian
0.0000 0.0000 0.0000 Si
1.1069 -4.2069 -2.4946 Ni
0.5535 -2.1034 -1.2473 Mo
1.6604 -6.3103 -3.7418 Co
```

***

# 3
Here is a relaxed structure of NbCdGaCo from OQMD via LeMat-Bulk. Energies are from PBE.

As for the energy above the lowest structure with this stoichiometry: 0.000 eV per atom.

POSCAR file:
```
NbCdGaCo
1.0
-1.0421 -1.6459 4.0259
-4.2250 0.1645 1.4579
-2.4011 -3.7591 0.3259
Nb Ga Co Cd
1 1 1 1
Cartesian
-3.8341 -2.6203 2.9048 Nb
0.0000 0.0000 0.0000 Ga
-5.7511 -3.9304 4.3572 Co
-1.9170 -1.3101 1.4524 Cd
```

***

# 4
Here is a relaxed structure of AcNpRe from OQMD via LeMat-Bulk. Energies are from PBE.

As for the energy above the lowest structure with this stoichiometry: 0.000 eV per atom. For the energy of formation, the calculation gives 17.55 kcal/mol of atoms.

POSCAR file:
```
AcNpRe
1.0
-0.6702 2.1761 4.3748
-2.9368 3.9450 0.3677
-4.3486 -0.3686 2.2971
Np Re Ac
1 1 1
Cartesian
-1.9889 1.4381 1.7599 Np
0.0000 0.0000 0.0000 Re
-5.9667 4.3143 5.2797 Ac
```

***

# 5
Here is a relaxed structure of NaUIn from OQMD via LeMat-Bulk. Energies are from PBE.

As for the energy above the lowest structure with this stoichiometry: 0.000 eV per atom.

POSCAR file:
```
NaUIn
1.0
0.0000 3.6371 3.6371
3.6371 0.0000 3.6371
3.6371 3.6371 0.0000
U In Na
1 1 1
Cartesian
5.4557 5.4557 5.4557 U
0.0000 0.0000 0.0000 In
1.8185 1.8185 1.8185 Na
```

***

# 6
Here is a relaxed structure of BeInNiAu from OQMD via LeMat-Bulk. Energies are from PBE.

As for the uncorrected energy: -0.279 Ry per atom.

POSCAR file:
```
BeInNiAu
1.0
-3.5353 1.4024 2.1028
-2.9956 2.3402 -2.1062
-3.8854 -1.7344 -0.8845
Ni Be Au In
1 1 1 1
Cartesian
-7.8122 1.5062 -0.6660 Ni
-2.6041 0.5021 -0.2220 Be
-5.2081 1.0041 -0.4440 Au
0.0000 0.0000 0.0000 In
```

***

# 7
Here is a relaxed structure of MgAl2ZnCu4 from OQMD via LeMat-Bulk. Energies are from PBE.

As for the energy above the lowest structure with this stoichiometry: 0.000 eV per atom.

POSCAR file:
```
MgAl2ZnCu4
1.0
0.3434 3.3092 2.6120
4.0967 0.3568 -0.9906
-1.4209 3.7264 -4.5341
Cu Mg Zn Al
4 1 1 2
Cartesian
0.9713 3.0029 -3.9320 Cu
1.7044 1.0803 -1.5926 Cu
-0.1722 2.5565 0.2087 Cu
-0.9053 4.4791 -2.1307 Cu
-0.7104 1.8632 -2.2671 Mg
2.2200 1.8330 0.8107 Zn
1.5096 3.6962 -1.4563 Al
0.0000 0.0000 0.0000 Al
```

***

# 8
Here is a relaxed structure of CoNiAsW from OQMD via LeMat-Bulk. Energies are from PBE.

As for the energy above the lowest structure with this stoichiometry: 0.184 eV per atom.

POSCAR file:
```
CoNiAsW
1.0
0.0000 2.9687 2.9687
2.9687 0.0000 2.9687
2.9687 2.9687 0.0000
As Ni W Co
1 1 1 1
Cartesian
0.0000 0.0000 0.0000 As
1.4844 1.4844 1.4844 Ni
2.9687 2.9687 2.9687 W
4.4531 4.4531 4.4531 Co
```

***

# 9
Here is a relaxed structure of Tm2NiTe6 from OQMD via LeMat-Bulk. Energies are from PBE.

As for the uncorrected energy: -0.323 Ry per atom.

POSCAR file:
```
Tm2NiTe6
1.0
-2.5934 -5.7829 5.3664
-0.7356 -1.2895 -8.1708
3.5300 -1.6381 -0.0593
Tm Te Ni
2 6 1
Cartesian
-0.2091 -5.1042 0.8244 Tm
0.4101 -3.6064 -3.6880 Tm
-0.4035 -0.7073 -4.4819 Te
-0.8241 -6.3196 -2.2108 Te
-1.4226 -3.1721 2.9436 Te
-1.5030 -3.1930 -1.2661 Te
1.6015 -1.1056 -1.8456 Te
1.1886 -2.1043 1.1631 Te
0.0000 0.0000 0.0000 Ni
```

***

# 10
Here is a relaxed structure of FeReSnAu from OQMD via LeMat-Bulk. Energies are from PBE.

As for the energy above the lowest structure with this stoichiometry: 0.000 eV per atom.

POSCAR file:
```
FeReSnAu
1.0
0.0000 3.2017 3.2017
3.2017 0.0000 3.2017
3.2017 3.2017 0.0000
Au Fe Sn Re
1 1 1 1
Cartesian
3.2017 3.2017 3.2017 Au
4.8026 4.8026 4.8026 Fe
0.0000 0.0000 0.0000 Sn
1.6009 1.6009 1.6009 Re
```

***

# 11
Here is a relaxed structure of ZrNbNiP from OQMD via LeMat-Bulk. Energies are from PBE.

As for the energy above the lowest structure with this stoichiometry: 0.000 eV per atom.

POSCAR file:
```
ZrNbNiP
1.0
5.1597 0.0000 0.0000
0.0000 3.5877 0.0000
-2.4982 0.0000 6.7623
Nb P Ni Zr
2 2 2 2
Cartesian
1.2940 2.6908 6.2617 Nb
1.3675 0.8969 0.5006 Nb
0.0374 2.6908 1.8726 P
2.6241 0.8969 4.8897 P
-1.2618 2.6908 5.3908 Ni
3.9234 0.8969 1.3714 Ni
2.5679 2.6908 2.8460 Zr
0.0936 0.8969 3.9162 Zr
```

***

# 12
Here is a relaxed structure of Cu2Ag3 from OQMD via LeMat-Bulk. Energies are from PBE.

As for the energy above the lowest structure with this stoichiometry: 0.057 eV per atom. For the energy of formation, the calculation gives 2.06 kcal/mol of atoms.

POSCAR file:
```
Cu2Ag3
1.0
6.8463 0.0000 0.0000
0.0000 2.8376 0.0000
-1.9768 0.0000 7.9796
Ag Cu
6 4
Cartesian
3.6362 1.4188 7.1643 Ag
-0.8702 0.0000 6.2886 Ag
1.4536 1.4188 5.4687 Ag
3.4159 1.4188 2.5109 Ag
1.2333 1.4188 0.8153 Ag
5.7397 0.0000 1.6910 Ag
1.1386 0.0000 3.2182 Cu
3.7309 0.0000 4.7615 Cu
3.4231 0.0000 0.0000 Cu
-0.9884 1.4188 3.9898 Cu
```